Run a
This record from the Alexandria database describes a relaxed structure of RbCa3B. The functional is PBE-GGA.

Structure (CIF):
```
data_RbCa3B
_space_group_name_H-M_alt 'P m -3 m'
_space_group_IT_number 221
_space_group_name_Hall '-P 4 2 3'
_cell_length_a 6.2232
_cell_length_b 6.2232
_cell_length_c 6.2232
_cell_angle_alpha 90.00
_cell_angle_beta 90.00
_cell_angle_gamma 90.00
loop_
_atom_site_label
_atom_site_fract_x
_atom_site_fract_y
_atom_site_fract_z
Rb1 0.0000 0.0000 0.0000
Ca1 0.0000 0.0000 0.5000
B1 0.5000 0.5000 0.5000
```

M_tot = 1.708 μB per cell
DOS(E_F) = 9.31 states/eV/f.u.

***

Run b
This record from the Alexandria database describes a relaxed structure of RbCa3B. The functional is PBE-GGA.

Structure (CIF):
```
data_RbCa3B
_space_group_name_H-M_alt 'P m -3 m'
_space_group_IT_number 221
_space_group_name_Hall '-P 4 2 3'
_cell_length_a 5.6442
_cell_length_b 5.6442
_cell_length_c 5.6442
_cell_angle_alpha 90.00
_cell_angle_beta 90.00
_cell_angle_gamma 90.00
loop_
_atom_site_label
_atom_site_fract_x
_atom_site_fract_y
_atom_site_fract_z
Rb1 0.0000 0.0000 0.0000
Ca1 0.0000 0.5000 0.5000
B1 0.5000 0.5000 0.5000
```

M_tot = 0.000 μB per cell
DOS(E_F) = 1.35 states/eV/f.u.

***

Preferred: run b; penalty for the next structure: 159.4 kJ/mol of atoms.

***

Run a
This record from the Alexandria database describes a relaxed structure of CaReB3. The functional is PBE-GGA.

Structure (CIF):
```
data_CaReB3
_space_group_name_H-M_alt 'R 3 m'
_space_group_IT_number 160
_space_group_name_Hall 'R 3 -2"'
_cell_length_a 5.1704
_cell_length_b 5.1704
_cell_length_c 8.5200
_cell_angle_alpha 90.00
_cell_angle_beta 90.00
_cell_angle_gamma 120.00
loop_
_atom_site_label
_atom_site_fract_x
_atom_site_fract_y
_atom_site_fract_z
Ca1 0.0000 0.0000 0.0000
Re1 0.0000 0.0000 0.5349
B1 0.1081 0.5541 0.9573
```

M_tot = 0.000 μB per cell
DOS(E_F) = 0.66 states/eV/f.u.

***

Run b
This record from the Alexandria database describes a relaxed structure of CaReB3. The functional is PBE-GGA.

Structure (CIF):
```
data_CaReB3
_space_group_name_H-M_alt 'P m -3 m'
_space_group_IT_number 221
_space_group_name_Hall '-P 4 2 3'
_cell_length_a 4.1710
_cell_length_b 4.1710
_cell_length_c 4.1710
_cell_angle_alpha 90.00
_cell_angle_beta 90.00
_cell_angle_gamma 90.00
loop_
_atom_site_label
_atom_site_fract_x
_atom_site_fract_y
_atom_site_fract_z
Ca1 0.0000 0.0000 0.0000
Re1 0.5000 0.5000 0.5000
B1 0.0000 0.5000 0.5000
```

M_tot = 0.000 μB per cell
DOS(E_F) = 1.07 states/eV/f.u.

***

Run c
This record from the Alexandria database describes a relaxed structure of CaReB3. The functional is PBE-GGA.

Structure (CIF):
```
data_CaReB3
_space_group_name_H-M_alt 'P m -3 m'
_space_group_IT_number 221
_space_group_name_Hall '-P 4 2 3'
_cell_length_a 4.0242
_cell_length_b 4.0242
_cell_length_c 4.0242
_cell_angle_alpha 90.00
_cell_angle_beta 90.00
_cell_angle_gamma 90.00
loop_
_atom_site_label
_atom_site_fract_x
_atom_site_fract_y
_atom_site_fract_z
Ca1 0.0000 0.0000 0.0000
Re1 0.5000 0.5000 0.5000
B1 0.0000 0.0000 0.5000
```

M_tot = 0.000 μB per cell
DOS(E_F) = 11.33 states/eV/f.u.

***

Preferred: run a; penalty for the next structure: 21.8 kJ/mol of atoms.

***

Run a
This record from the Alexandria database describes a relaxed structure of CaRe3B. The functional is PBE-GGA.

Structure (CIF):
```
data_CaRe3B
_space_group_name_H-M_alt 'P m -3 m'
_space_group_IT_number 221
_space_group_name_Hall '-P 4 2 3'
_cell_length_a 4.2641
_cell_length_b 4.2641
_cell_length_c 4.2641
_cell_angle_alpha 90.00
_cell_angle_beta 90.00
_cell_angle_gamma 90.00
loop_
_atom_site_label
_atom_site_fract_x
_atom_site_fract_y
_atom_site_fract_z
Ca1 0.0000 0.0000 0.0000
Re1 0.0000 0.5000 0.5000
B1 0.5000 0.5000 0.5000
```

M_tot = 0.000 μB per cell
DOS(E_F) = 4.97 states/eV/f.u.

***

Run b
This record from the Alexandria database describes a relaxed structure of CaRe3B. The functional is PBE-GGA.

Structure (CIF):
```
data_CaRe3B
_space_group_name_H-M_alt 'P m -3 m'
_space_group_IT_number 221
_space_group_name_Hall '-P 4 2 3'
_cell_length_a 4.5815
_cell_length_b 4.5815
_cell_length_c 4.5815
_cell_angle_alpha 90.00
_cell_angle_beta 90.00
_cell_angle_gamma 90.00
loop_
_atom_site_label
_atom_site_fract_x
_atom_site_fract_y
_atom_site_fract_z
Ca1 0.0000 0.0000 0.0000
Re1 0.0000 0.0000 0.5000
B1 0.5000 0.5000 0.5000
```

M_tot = 2.101 μB per cell
DOS(E_F) = 9.56 states/eV/f.u.

***

Preferred: run a; penalty for the next structure: 356.0 kJ/mol of atoms.

***

Run a
This record from the Alexandria database describes a relaxed structure of Ca2BRh2. The functional is PBE-GGA.

Structure (CIF):
```
data_Ca2BRh2
_space_group_name_H-M_alt 'P 4/m b m'
_space_group_IT_number 127
_space_group_name_Hall '-P 4 2ab'
_cell_length_a 6.0833
_cell_length_b 6.0833
_cell_length_c 4.6365
_cell_angle_alpha 90.00
_cell_angle_beta 90.00
_cell_angle_gamma 90.00
loop_
_atom_site_label
_atom_site_fract_x
_atom_site_fract_y
_atom_site_fract_z
Ca1 0.1724 0.3276 0.0000
B1 0.0000 0.0000 0.5000
Rh1 0.1637 0.6637 0.5000
```

M_tot = 0.000 μB per cell
DOS(E_F) = 1.33 states/eV/f.u.

***

Run b
This record from the Alexandria database describes a relaxed structure of Ca2BRh2. The functional is PBE-GGA.

Structure (CIF):
```
data_Ca2BRh2
_space_group_name_H-M_alt 'C 1 2/c 1'
_space_group_IT_number 15
_cell_length_a 10.5178
_cell_length_b 5.7877
_cell_length_c 6.2293
_cell_angle_alpha 90.00
_cell_angle_beta 100.94
_cell_angle_gamma 90.00
loop_
_space_group_symop_operation_xyz
'x,y,z'
'-x,-y,-z'
'-x,y,-z+1/2'
'x,-y,z+1/2'
'x+1/2,y+1/2,z'
'-x+1/2,-y+1/2,-z'
'-x+1/2,y+1/2,-z+1/2'
'x+1/2,-y+1/2,z+1/2'
loop_
_atom_site_label
_atom_site_fract_x
_atom_site_fract_y
_atom_site_fract_z
Ca1 0.1407 0.1314 0.1176
B1 0.0000 0.4605 0.7500
Rh1 0.1192 0.3831 0.5220
```

M_tot = 0.000 μB per cell
DOS(E_F) = 1.00 states/eV/f.u.

***

Preferred: run b; penalty for the next structure: 21.4 kJ/mol of atoms.